Entry 1:
Density functional theory data (PBE-GGA) for a relaxed Pm2NdDy4Th crystal.

abc: 5.1183 5.0980 11.2578
angles: 63.07 90.00 90.00
Closest atoms and distances in Å follow each position.
Element x y z (fractional)
Pm: 0.0000 0.0000 0.0000  4 Nd 3.61, 8 Dy 3.61-3.62
Pm: 0.5000 0.0000 0.5000  8 Dy 3.54-3.55, 4 Th 3.61
Nd: 0.5000 0.5000 0.0000  4 Pm 3.61, 8 Dy 3.62
Dy: 0.0000 0.7549 0.7448  2 Th 3.54, 4 Pm 3.55-3.61, 4 Dy 3.61, 2 Nd 3.62
Dy: 0.0000 0.2451 0.2552  2 Th 3.54, 4 Pm 3.55-3.61, 4 Dy 3.61, 2 Nd 3.62
Dy: 0.5000 0.7445 0.2555  4 Pm 3.54-3.62, 2 Th 3.55, 4 Dy 3.61, 2 Nd 3.62
Dy: 0.5000 0.2555 0.7445  4 Pm 3.54-3.62, 2 Th 3.55, 4 Dy 3.61, 2 Nd 3.62
Th: 0.0000 0.5000 0.5000  8 Dy 3.54-3.55, 4 Pm 3.61

Output
**ΔH_f (0 K)**: 28.4 meV/atom
**Symmetry**: Pmmm (47)
**D(E_F)**: 10.64 states/eV per cell
**Size of the total moment**: 0.00 μB/f.u.
**Volume**: 261.9 Å³/cell
**Electronic total energy**: -4.984 eV/atom

---

Entry 2:
Density functional theory data (PBE-GGA) for a relaxed PmNdDy2Th crystal.

abc: 5.8014 6.3199 9.6398
angles: 71.06 90.00 90.00
Closest atoms and distances in Å follow each position.
Element x y z (fractional)
Pm: 0.2500 0.5323 0.6056  2 Th 3.51-3.70, 5 Dy 3.59-3.67, 3 Nd 3.63-3.78, 2 Pm 3.64
Pm: 0.7500 0.4677 0.3944  2 Th 3.51-3.70, 5 Dy 3.59-3.67, 3 Nd 3.63-3.78, 2 Pm 3.64
Nd: 0.2500 0.7510 0.1911  6 Dy 3.56-3.81, 3 Th 3.59-3.60, 3 Pm 3.63-3.78
Nd: 0.7500 0.2490 0.8089  6 Dy 3.56-3.81, 3 Th 3.59-3.60, 3 Pm 3.63-3.78
Dy: 0.7500 0.8718 0.5946  3 Dy 3.53-3.65, 3 Th 3.56, 4 Pm 3.59-3.67, 2 Nd 3.63-3.81
Dy: 0.7500 0.6625 0.9951  3 Dy 3.54-3.65, 4 Nd 3.56-3.62, 4 Th 3.57-3.80, 1 Pm 3.64
Dy: 0.2500 0.1282 0.4054  3 Dy 3.53-3.65, 3 Th 3.56, 4 Pm 3.59-3.67, 2 Nd 3.63-3.81
Dy: 0.2500 0.3375 0.0049  3 Dy 3.54-3.65, 4 Nd 3.56-3.62, 4 Th 3.57-3.80, 1 Pm 3.64
Th: 0.2500 0.9209 0.7962  2 Pm 3.51-3.70, 7 Dy 3.56-3.80, 3 Nd 3.59-3.60
Th: 0.7500 0.0791 0.2038  2 Pm 3.51-3.70, 7 Dy 3.56-3.80, 3 Nd 3.59-3.60

Output
**ΔH_f (0 K)**: 55.6 meV/atom
**Symmetry**: P2_1/m (11)
**D(E_F)**: 16.34 states/eV per cell
**Size of the total moment**: 0.00 μB/f.u.
**Volume**: 334.3 Å³/cell
**Electronic total energy**: -5.173 eV/atom

---

Entry 3:
Density functional theory data (PBE-GGA) for a relaxed Pm3NdDy6Th2 crystal.

abc: 6.2324 6.2324 11.7840
angles: 95.07 95.07 119.97
Closest atoms and distances in Å follow each position.
Element x y z (fractional)
Pm: 0.1662 0.8338 0.5000  6 Dy 3.59-3.62, 6 Pm 3.59-3.60
Pm: 0.8338 0.1662 0.5000  6 Dy 3.59-3.62, 6 Pm 3.59-3.60
Pm: 0.5000 0.5000 0.5000  6 Dy 3.59-3.61, 6 Pm 3.60
Nd: 0.0000 0.0000 0.0000  6 Dy 3.55, 6 Th 3.60
Dy: 0.9176 0.5794 0.7539  2 Th 3.52, 1 Nd 3.55, 6 Dy 3.57-3.65, 3 Pm 3.59-3.62
Dy: 0.7441 0.7441 0.2462  2 Th 3.52, 1 Nd 3.55, 6 Dy 3.57-3.65, 3 Pm 3.59-3.61
Dy: 0.0824 0.4206 0.2461  2 Th 3.52, 1 Nd 3.55, 6 Dy 3.57-3.65, 3 Pm 3.59-3.62
Dy: 0.5794 0.9176 0.7539  2 Th 3.52, 1 Nd 3.55, 6 Dy 3.57-3.65, 3 Pm 3.59-3.62
Dy: 0.2559 0.2559 0.7538  2 Th 3.52, 1 Nd 3.55, 6 Dy 3.57-3.65, 3 Pm 3.59-3.61
Dy: 0.4206 0.0824 0.2461  2 Th 3.52, 1 Nd 3.55, 6 Dy 3.57-3.65, 3 Pm 3.59-3.62
Th: 0.3334 0.6666 0.0000  6 Dy 3.52, 3 Th 3.60, 3 Nd 3.60
Th: 0.6666 0.3334 0.0000  6 Dy 3.52, 3 Th 3.60, 3 Nd 3.60

Output
**ΔH_f (0 K)**: 24.6 meV/atom
**Symmetry**: C2/m (12)
**D(E_F)**: 15.80 states/eV per cell
**Size of the total moment**: 0.00 μB/f.u.
**Volume**: 390.3 Å³/cell
**Electronic total energy**: -5.098 eV/atom

---

Entry 4:
Density functional theory data (PBE-GGA) for a relaxed PmNd3DyTh crystal.

abc: 5.7505 10.6951 6.9479
angles: 88.55 90.00 105.59
Closest atoms and distances in Å follow each position.
Element x y z (fractional)
Pm: 0.3548 0.7095 0.9574  1 Dy 3.05, 2 Nd 3.34-3.41
Pm: 0.6452 0.2905 0.0426  1 Dy 3.05, 2 Nd 3.34-3.41
Nd: 0.8432 0.6864 0.2492  2 Dy 3.44, 2 Pm 3.52, 4 Nd 3.66-3.84
Nd: 0.7802 0.5604 0.7473  1 Th 3.34, 3 Dy 3.34-3.59, 3 Pm 3.41-3.59, 1 Nd 3.66
Nd: 0.4816 0.9633 0.2469  1 Dy 3.22, 2 Th 3.29, 1 Pm 3.34, 1 Nd 3.49
Nd: 0.2198 0.4396 0.2527  1 Th 3.34, 3 Dy 3.34-3.59, 3 Pm 3.41-3.59, 1 Nd 3.66
Nd: 0.5184 0.0367 0.7531  1 Dy 3.22, 2 Th 3.29, 1 Pm 3.34, 1 Nd 3.49
Nd: 0.1568 0.3136 0.7508  2 Dy 3.44, 2 Pm 3.52, 4 Nd 3.66-3.84
Dy: 0.6473 0.2946 0.4813  1 Pm 3.05, 2 Nd 3.22-3.34
Dy: 0.3527 0.7054 0.5187  1 Pm 3.05, 2 Nd 3.22-3.34
Th: 0.0580 0.1160 0.2861  3 Nd 3.29-3.34
Th: 0.9420 0.8840 0.7139  3 Nd 3.29-3.34

Output
**ΔH_f (0 K)**: 202.2 meV/atom
**Symmetry**: C2/m (12)
**D(E_F)**: 16.02 states/eV per cell
**Size of the total moment**: 0.00 μB/f.u.
**Volume**: 411.4 Å³/cell
**Electronic total energy**: -4.977 eV/atom

---

Entry 5:
Density functional theory data (PBE-GGA) for a relaxed Pm4Nd2DyTh crystal.

abc: 6.0882 6.0792 9.5083
angles: 50.38 90.00 90.00
Closest atoms and distances in Å follow each position.
Element x y z (fractional)
Pm: 0.0000 0.7460 0.7540  4 Nd 3.53-3.57, 2 Th 3.54, 2 Dy 3.56-3.57, 2 Pm 3.60-3.72
Pm: 0.0000 0.2540 0.2460  4 Nd 3.53-3.57, 2 Th 3.54, 2 Dy 3.56-3.57, 2 Pm 3.60-3.72
Pm: 0.5000 0.7536 0.2462  2 Th 3.53-3.54, 4 Nd 3.54-3.57, 2 Dy 3.57, 2 Pm 3.61-3.72
Pm: 0.5000 0.2464 0.7538  2 Th 3.53-3.54, 4 Nd 3.54-3.57, 2 Dy 3.57, 2 Pm 3.61-3.72
Nd: 0.0000 0.0000 0.0000  8 Pm 3.53-3.54, 2 Dy 3.66
Nd: 0.5000 0.0000 0.5000  8 Pm 3.56-3.57, 2 Th 3.66
Dy: 0.0000 0.5000 0.5000  8 Pm 3.56-3.57, 2 Nd 3.66
Th: 0.5000 0.5000 0.0000  8 Pm 3.53-3.54, 2 Nd 3.66

Output
**ΔH_f (0 K)**: 132.9 meV/atom
**Symmetry**: P2/m (10)
**D(E_F)**: 15.70 states/eV per cell
**Size of the total moment**: 0.00 μB/f.u.
**Volume**: 271.1 Å³/cell
**Electronic total energy**: -4.937 eV/atom

---

Entry 6:
Density functional theory data (PBE-GGA) for a relaxed PmNd2DyTh crystal.

abc: 8.5002 6.3787 6.6626
angles: 103.59 90.00 90.00
Closest atoms and distances in Å follow each position.
Element x y z (fractional)
Pm: 0.6621 0.0000 0.2500  2 Th 3.32, 4 Nd 3.37-3.59
Pm: 0.3379 0.0000 0.7500  2 Th 3.32, 4 Nd 3.37-3.59
Nd: 0.6744 0.7148 0.6552  2 Nd 3.28-3.56, 2 Pm 3.37-3.59, 1 Dy 3.43, 1 Th 3.59
Nd: 0.6744 0.2852 0.8448  2 Nd 3.28-3.56, 2 Pm 3.37-3.59, 1 Dy 3.43, 1 Th 3.59
Nd: 0.3256 0.7148 0.1552  2 Nd 3.28-3.56, 2 Pm 3.37-3.59, 1 Dy 3.43, 1 Th 3.59
Nd: 0.3256 0.2852 0.3448  2 Nd 3.28-3.56, 2 Pm 3.37-3.59, 1 Dy 3.43, 1 Th 3.59
Dy: 0.0811 0.5000 0.7500  2 Th 3.31, 2 Nd 3.43, 2 Dy 3.61
Dy: 0.9189 0.5000 0.2500  2 Th 3.31, 2 Nd 3.43, 2 Dy 3.61
Th: 0.0000 0.0000 0.0000  2 Dy 3.31, 2 Pm 3.32, 2 Th 3.33, 2 Nd 3.59
Th: 0.0000 0.0000 0.5000  2 Dy 3.31, 2 Pm 3.32, 2 Th 3.33, 2 Nd 3.59

Output
**ΔH_f (0 K)**: 247.4 meV/atom
**Symmetry**: P2/c (13)
**D(E_F)**: 18.08 states/eV per cell
**Size of the total moment**: 0.00 μB/f.u.
**Volume**: 351.1 Å³/cell
**Electronic total energy**: -5.014 eV/atom